Record 1
Compound: Y3InO
Source: Alexandria
Functional: PBE-GGA
Structure: relaxed

Geometry as CIF:
```
data_Y3InO
_chemical_formula_sum 'Y6 In2 O2'
_cell_length_a 6.653
_cell_length_b 6.653
_cell_length_c 7.643
_cell_angle_alpha 64.20
_cell_angle_beta 64.20
_cell_angle_gamma 90.00
_symmetry_space_group_name_H-M 'P 1'
_symmetry_Int_Tables_number 1
_symmetry_space_group_name_Hall 'P 1'
loop_
_atom_site_label
_atom_site_fract_x
_atom_site_fract_y
_atom_site_fract_z
Y1 0.119 0.373 0.762
Y2 0.372 0.372 0.256
Y3 0.119 0.866 0.762
Y4 0.627 0.881 0.238
Y5 0.628 0.628 0.744
Y6 0.134 0.881 0.238
O1 0.000 0.000 0.000
O2 0.250 0.750 0.500
In1 0.878 0.378 0.244
In2 0.622 0.122 0.756
```

---

Record 2
# La2Pm2Bi5 (PBE-GGA, relaxed)
# ΔE_f = -0.79 eV per atom
data_La2Pm2Bi5
_chemical_formula_sum 'La4 Pm4 Bi10'
_cell_length_a 8.617
_cell_length_b 9.351
_cell_length_c 9.351
_cell_angle_alpha 125.93
_cell_angle_beta 90.00
_cell_angle_gamma 90.00
_symmetry_space_group_name_H-M 'P 1'
_symmetry_Int_Tables_number 1
_symmetry_space_group_name_Hall 'P 1'
loop_
_atom_site_label
_atom_site_fract_x
_atom_site_fract_y
_atom_site_fract_z
Bi1 0.000 0.000 0.000
Bi2 0.145 0.492 0.219
Bi3 0.355 0.719 0.992
Bi4 0.355 0.992 0.719
Bi5 0.500 0.500 0.500
Bi6 0.855 0.781 0.508
Bi7 0.645 0.281 0.008
Bi8 0.145 0.219 0.492
Bi9 0.645 0.008 0.281
Bi10 0.855 0.508 0.781
Pm1 0.341 0.156 0.156
Pm2 0.841 0.344 0.344
Pm3 0.659 0.844 0.844
Pm4 0.159 0.656 0.656
La1 0.500 0.308 0.692
La2 0.000 0.192 0.808
La3 0.500 0.692 0.308
La4 0.000 0.808 0.192

---

Record 3
Compound: LaTb2Dy3Te6
Source: Alexandria
Functional: PBE-GGA
Structure: relaxed

Geometry as CIF:
```
data_LaTb2Dy3Te6
_chemical_formula_sum 'La1 Tb2 Dy3 Te6'
_cell_length_a 4.380
_cell_length_b 8.842
_cell_length_c 9.837
_cell_angle_alpha 103.13
_cell_angle_beta 102.86
_cell_angle_gamma 90.00
_symmetry_space_group_name_H-M 'P 1'
_symmetry_Int_Tables_number 1
_symmetry_space_group_name_Hall 'P 1'
loop_
_atom_site_label
_atom_site_fract_x
_atom_site_fract_y
_atom_site_fract_z
Tb1 0.834 0.668 0.669
Tb2 0.166 0.332 0.331
Te1 0.327 0.915 0.655
Te2 0.333 0.416 0.666
Te3 0.667 0.584 0.334
Te4 0.001 0.262 0.002
Te5 0.999 0.738 0.998
Te6 0.673 0.085 0.345
La1 0.500 0.000 0.000
Dy1 0.838 0.168 0.675
Dy2 0.162 0.832 0.325
Dy3 0.500 0.500 0.000
```

---

Table of D(E_F) (states/eV per atom), in record order: 0.674, 0.781, 0.568
Table of total DFT energy (no corrections) (eV per cell), in record order: -64.70, -91.65, -62.93